No. 1
This record from the Alexandria database describes a geometry-optimized Ca2MgBi structure. The functional is GGA-PBE.

Properties
Crystal system: tetragonal
E_form, kcal/mol of atoms: -10.4
Excess energy over the best structure of this formula in the dataset, meV/atom: 39
Magnetic moment, μB per atom: 0.000
Calculated total energy, eV per atom: -2.82
Density of states at the Fermi level, states/eV per cell: 1.762

Cell lengths 4.087, 4.087, 7.392 Å; angles 90.00, 90.00, 90.00 degrees
Space group P4/mmm (No. 123)
Symmetry-distinct sites (fractional):
1 Ca 0.000 0.000 0.240 (multiplicity 2)
2 Mg 0.500 0.500 0.500 (multiplicity 1)
3 Bi 0.500 0.500 0.000 (multiplicity 1)


No. 2
This record from the Alexandria database describes a geometry-optimized CaMgBi2 structure. The functional is GGA-PBE.

Properties
Crystal system: tetragonal
E_form, kcal/mol of atoms: -11.8
Magnetic moment, μB per atom: 0.000
Calculated total energy, eV per atom: -3.35
Density of states at the Fermi level, states/eV per cell: 3.067

Cell lengths 4.595, 4.595, 11.477 Å; angles 90.00, 90.00, 90.00 degrees
Space group P4/nmm (No. 129, origin choice 2)
Symmetry-distinct sites (fractional):
1 Ca 0.250 0.250 0.223 (multiplicity 2)
2 Mg 0.250 0.750 0.500 (multiplicity 2)
3 Bi 0.250 0.250 0.672 (multiplicity 2)
4 Bi 0.250 0.750 0.000 (multiplicity 2)


No. 3
This record from the Alexandria database describes a geometry-optimized Ca2MgBi structure. The functional is GGA-PBE.

Properties
Crystal system: cubic
E_form, kcal/mol of atoms: -9.6
Excess energy over the best structure of this formula in the dataset, meV/atom: 72
Magnetic moment, μB per atom: 0.000
Calculated total energy, eV per atom: -2.79
Density of states at the Fermi level, states/eV per cell: 15.192

Cell lengths 7.928, 7.928, 7.928 Å; angles 90.00, 90.00, 90.00 degrees
Space group Fm-3m (No. 225)
Symmetry-distinct sites (fractional):
1 Ca 0.250 0.250 0.250 (multiplicity 8)
2 Mg 0.000 0.000 0.000 (multiplicity 4)
3 Bi 0.000 0.000 0.500 (multiplicity 4)


No. 4
This record from the Alexandria database describes a geometry-optimized Ca2MgBi2 structure. The functional is GGA-PBE.

Properties
Crystal system: orthorhombic
E_form, kcal/mol of atoms: -15.6
Magnetic moment, μB per atom: 0.000
Calculated total energy, eV per atom: -3.35

Cell lengths 7.603, 13.111, 6.609 Å; angles 90.00, 90.00, 90.00 degrees
Space group Ibam (No. 72)
Symmetry-distinct sites (fractional):
1 Ca 0.170 0.133 0.000 (multiplicity 8)
2 Mg 0.000 0.500 0.250 (multiplicity 4)
3 Bi 0.240 0.377 0.000 (multiplicity 8)


No. 5
This record from the Alexandria database describes a geometry-optimized CaMgBi3 structure. The functional is GGA-PBE.

Properties
Crystal system: orthorhombic
E_form, kcal/mol of atoms: -8.2
Excess energy over the best structure of this formula in the dataset, meV/atom: 0
Magnetic moment, μB per atom: 0.000
Calculated total energy, eV per atom: -3.40
Density of states at the Fermi level, states/eV per cell: 8.491

Cell lengths 13.846, 6.468, 6.720 Å; angles 90.00, 90.00, 90.00 degrees
Space group Pbcm (No. 57)
Symmetry-distinct sites (fractional):
1 Ca 0.186 0.015 0.250 (multiplicity 4)
2 Mg 0.385 0.750 0.000 (multiplicity 4)
3 Bi 0.010 0.750 0.000 (multiplicity 4)
4 Bi 0.242 0.504 0.250 (multiplicity 4)
5 Bi 0.424 0.195 0.250 (multiplicity 4)


No. 6
This record from the Alexandria database describes a geometry-optimized Ca3MgBi2 structure. The functional is GGA-PBE.

Properties
Crystal system: orthorhombic
E_form, kcal/mol of atoms: -12.9
Magnetic moment, μB per atom: 0.247
Calculated total energy, eV per atom: -3.12
Density of states at the Fermi level, states/eV per cell: 16.313

Cell lengths 6.661, 17.174, 6.666 Å; angles 90.00, 90.00, 90.00 degrees
Space group Ibam (No. 72)
Symmetry-distinct sites (fractional):
1 Ca 0.000 0.000 0.250 (multiplicity 4)
2 Ca 0.232 0.325 0.000 (multiplicity 8)
3 Mg 0.000 0.500 0.250 (multiplicity 4)
4 Bi 0.241 0.133 0.000 (multiplicity 8)